#1
The following is a PBE-GGA calculation of CuTc2Os after structural relaxation, from Alexandria.

Lattice parameters (Å, degrees): 4.7085 4.7085 4.7085 132.36 132.36 69.66
Atoms (fractional coordinates):
Tc  0.2500  0.7500  0.5000
Tc  0.0000  0.0000  0.0000
Cu  0.5000  0.5000  0.0000
Os  0.7500  0.2500  0.5000

---

#2
The following is a PBE-GGA calculation of CuTc2Os after structural relaxation, from Alexandria.

Lattice parameters (Å, degrees): 3.8566 3.8011 3.8011 90.00 90.00 90.00
Atoms (fractional coordinates):
Os  0.5000  0.0000  0.5000
Cu  0.5000  0.5000  0.0000
Tc  0.0000  0.5000  0.5000
Tc  0.0000  0.0000  0.0000

---

Which of them is the most stable, and which is the least stable? #1 and #2, in that order.

---

#1
The following is a PBE-GGA calculation of KCrTc2 after structural relaxation, from Alexandria.

Lattice parameters (Å, degrees): 3.0503 3.0503 8.8258 90.00 90.00 90.00
Atoms (fractional coordinates):
K  0.5000  0.5000  0.7573
Tc  0.0000  0.0000  0.0822
Tc  0.5000  0.5000  0.2384
Cr  0.0000  0.0000  0.4221

---

#2
The following is a PBE-GGA calculation of KCrTc2 after structural relaxation, from Alexandria.

Lattice parameters (Å, degrees): 2.8602 3.8146 7.7969 90.00 90.00 90.00
Atoms (fractional coordinates):
Tc  0.5000  0.5000  0.2597
Tc  0.0000  0.0000  0.1071
Cr  0.0000  0.0000  0.3861
K  0.5000  0.5000  0.7471

---

Which of them is the most stable, and which is the least stable? #1 and #2, in that order.